1.
LiLa2Y: relaxed, GGA-PBE.

Geometry as extended XYZ:
```
4
Lattice="5.416 0.000 0.000 0.000 3.583 0.023 0.000 1.816 6.661" Properties=species:S:1:pos:R:3 pbc="T T T"
La 0.000 5.395 6.682
La 2.708 1.657 1.743
Li 0.000 2.730 3.385
Y 2.708 3.715 4.899
```

For the total magnetization, the calculation gives 0.0 μB per cell. The volume comes out at 129.0 Å³/f.u. The energy above the most stable polymorph in this dataset comes out at 67.4 meV per atom. The value obtained for the formation enthalpy at 0 K is 128 meV/atom.

=====

2.
LiLa5Y4: relaxed, GGA-PBE.

Geometry as extended XYZ:
```
10
Lattice="-2.343 -2.879 0.137 1.804 -1.326 2.964 -14.858 12.797 14.768" Properties=species:S:1:pos:R:3 pbc="T T T"
Li 0.000 0.000 0.000
La -1.574 -0.979 2.848
La -4.644 1.665 5.899
La -7.699 4.296 8.935
La -10.753 6.926 11.971
La -13.823 9.570 15.022
Y -2.838 2.444 2.821
Y -5.901 5.082 5.865
Y -8.957 7.715 8.903
Y -12.020 10.353 11.947
```

For the total magnetization, the calculation gives 0.0 μB per cell. The volume comes out at 338.7 Å³/f.u. The value obtained for the formation enthalpy at 0 K is 42 meV/atom.

=====

3.
LiLa2YZn: relaxed, GGA-PBE.

Geometry as extended XYZ:
```
5
Lattice="5.847 0.000 0.000 0.000 4.737 0.000 0.000 0.000 5.847" Properties=species:S:1:pos:R:3 pbc="T T T"
Y 2.924 2.369 2.924
Zn 0.000 0.000 0.000
Li 0.000 2.369 0.000
La 0.000 0.000 2.924
La 2.924 0.000 0.000
```

For the total magnetization, the calculation gives 0.0 μB per cell. The volume comes out at 162.0 Å³/f.u. The value obtained for the formation enthalpy at 0 K is 224 meV/atom.

=====

4.
Li2LaZn: relaxed, GGA-PBE.

Geometry as extended XYZ:
```
4
Lattice="-4.451 -0.122 -2.432 1.921 -3.324 -3.317 -1.043 -2.640 2.042" Properties=species:S:1:pos:R:3 pbc="T T T"
La 0.439 -2.982 -0.638
Li 0.000 0.000 0.000
Li -1.265 -1.723 -2.875
Zn -2.747 -1.381 -0.195
```

For the total magnetization, the calculation gives 0.0 μB per cell. The volume comes out at 90.0 Å³/f.u. The value obtained for the formation enthalpy at 0 K is 143 meV/atom.